Here is FeIrIO2 after structural relaxation from Alexandria. Energies are from GGA+U.

Lattice parameters (Å, degrees): 3.8111 3.8111 7.6699 90.00 90.00 90.00
Fractional coordinates of all 5 atoms:
1 Fe 0.0000 0.0000 0.0000
2 Ir 0.5000 0.5000 0.5000
3 I 0.5000 0.5000 0.0000
4 O 0.0000 0.5000 0.5000
5 O 0.5000 0.0000 0.5000

Values from the calculation:
The value obtained for the distance to the lowest polymorph of the same formula is 0 meV/atom. Its uncorrected energy is -5.175 eV per atom. Its symmetry is P4/mmm, No. 123.